(1)
Ti8Ga2Rh3: optimized geometry, PBE.

Properties
Crystal system: orthorhombic
M_tot in Bohr magnetons per cell: 0.0
Calculated formation energy in eV per atom: -0.277
Symmetry: No. 65

```
Ti8Ga2Rh3
1.0
4.2788 -6.1488 0.0000
4.2788 6.1488 0.0000
0.0000 0.0000 4.3168
Ti Ga Rh
8 2 3
Cartesian
2.0352 1.5193 2.1584
4.2788 4.6709 0.0000
2.0352 -1.5193 2.1584
4.2788 1.6000 0.0000
4.2788 -1.6000 0.0000
6.5223 1.5193 2.1584
4.2788 -4.6709 0.0000
6.5223 -1.5193 2.1584
4.2788 3.0495 2.1584
4.2788 -3.0495 2.1584
2.1755 0.0000 0.0000
4.2788 0.0000 2.1584
6.3820 0.0000 0.0000
```



(2)
Li3BeAu4: optimized geometry, PBE.

Properties
Crystal system: tetragonal
M_tot in Bohr magnetons per cell: 0.0
Calculated formation energy in eV per atom: -0.435
Symmetry: No. 123

```
Li3BeAu4
1.0
2.9607 0.0000 0.0000
0.0000 2.9607 0.0000
0.0000 0.0000 13.5405
Li Be Au
3 1 4
Cartesian
0.0000 0.0000 0.0000
0.0000 0.0000 3.4821
0.0000 0.0000 10.0584
0.0000 0.0000 6.7702
1.4804 1.4804 1.7493
1.4804 1.4804 5.3148
1.4804 1.4804 8.2257
1.4804 1.4804 11.7912
```



(3)
Ba2NaZn: optimized geometry, PBE.

Properties
Crystal system: tetragonal
M_tot in Bohr magnetons per cell: 0.0
Calculated formation energy in eV per atom: 0.116
Symmetry: No. 122

```
Ba2NaZn
1.0
-4.8198 4.8198 4.0076
4.8198 -4.8198 4.0076
4.8198 4.8198 -4.0076
Ba Na Zn
4 2 2
Cartesian
7.2297 1.9765 -1.0019
1.9765 2.4099 1.0019
-2.4099 2.8433 3.0057
2.8433 2.4099 5.0094
4.8198 0.0000 2.0038
0.0000 0.0000 4.0076
0.0000 0.0000 0.0000
0.0000 4.8198 2.0038
```



(4)
Co3Sb: optimized geometry, PBE.

Properties
Crystal system: tetragonal
Formation energy from raw total energies in eV/atom: 0.0643
M_tot in Bohr magnetons per cell: 2.5
Symmetry: No. 139

```
Co3Sb
1.0
-1.8893 1.8893 3.5691
1.8893 -1.8893 3.5691
1.8893 1.8893 -3.5691
Co Sb
3 1
Cartesian
0.0000 0.0000 0.0000
1.8893 0.0000 1.7846
0.0000 1.8893 1.7846
0.0000 0.0000 3.5691
```



Which of these has the highest M_tot?
Co3Sb



Please write out number 4 again, unchanged.
Co3Sb: optimized geometry, PBE.

Properties
Crystal system: tetragonal
Formation energy from raw total energies in eV/atom: 0.0643
M_tot in Bohr magnetons per cell: 2.5
Symmetry: No. 139

```
Co3Sb
1.0
-1.8893 1.8893 3.5691
1.8893 -1.8893 3.5691
1.8893 1.8893 -3.5691
Co Sb
3 1
Cartesian
0.0000 0.0000 0.0000
1.8893 0.0000 1.7846
0.0000 1.8893 1.7846
0.0000 0.0000 3.5691
```